[1]
Density functional theory data (GGA-PBE) for an optimized crystal structure of Cs2CaZr.

a = 6.7487 Å, b = 6.7487 Å, c = 6.7487 Å
α = 60.00°, β = 60.00°, γ = 60.00°
Last column: nearest neighbours and their distance in Å.
Fractional coordinates of all 4 atoms:
Cs1 0.7500 0.7500 0.7500  4 Ca 4.13, 4 Zr 4.13
Cs2 0.2500 0.2500 0.2500  4 Zr 4.13, 4 Ca 4.13
Ca1 0.0000 0.0000 0.0000  8 Cs 4.13
Zr1 0.5000 0.5000 0.5000  8 Cs 4.13

V = 54.34 A^3/atom
Energy = -1.933 eV/atom
DOS at the Fermi energy = 9.9 states/eV/cell
Formation enthalpy at 0 K = 1.13 eV/atom



[2]
Density functional theory data (GGA-PBE) for an optimized crystal structure of CsCa3Zr.

a = 5.7800 Å, b = 5.7800 Å, c = 5.7800 Å
α = 90.00°, β = 90.00°, γ = 90.00°
Last column: nearest neighbours and their distance in Å.
Fractional coordinates of all 5 atoms:
Ca1 0.5000 0.0000 0.0000  2 Cs 2.89
Zr1 0.5000 0.5000 0.5000  12 Ca 4.09
Cs1 0.0000 0.0000 0.0000  6 Ca 2.89
Ca2 0.0000 0.5000 0.0000  2 Cs 2.89
Ca3 0.0000 0.0000 0.5000  2 Cs 2.89

V = 38.62 A^3/atom
Energy = -1.695 eV/atom
DOS at the Fermi energy = 14.9 states/eV/cell
Formation enthalpy at 0 K = 1.39 eV/atom



[3]
Density functional theory data (GGA-PBE) for an optimized crystal structure of CaCu8.

a = 6.0198 Å, b = 6.0198 Å, c = 6.0198 Å
α = 95.81°, β = 95.81°, γ = 142.89°
Last column: nearest neighbours and their distance in Å.
Fractional coordinates of all 9 atoms:
Cu1 0.0000 0.6550 0.6550  11 Cu 2.50-2.75, 1 Ca 2.78
Cu2 0.3168 0.6832 0.0000  4 Cu 2.45-2.57
Cu3 0.6550 0.0000 0.6550  11 Cu 2.50-2.75, 1 Ca 2.78
Cu4 0.6832 0.6832 0.3665  4 Cu 2.45-2.57
Ca1 0.0000 0.0000 0.0000  12 Cu 2.78-2.84
Cu5 0.3168 0.3168 0.6335  4 Cu 2.45-2.57
Cu6 0.6832 0.3168 0.0000  4 Cu 2.45-2.57
Cu7 0.0000 0.3450 0.3450  11 Cu 2.50-2.75, 1 Ca 2.78
Cu8 0.3450 0.0000 0.3450  11 Cu 2.50-2.75, 1 Ca 2.78

V = 13.86 A^3/atom
Energy = -3.779 eV/atom
DOS at the Fermi energy = 3.4 states/eV/cell
Formation enthalpy at 0 K = 0.08 eV/atom



[4]
Density functional theory data (GGA-PBE) for an optimized crystal structure of Ca3Cu.

a = 3.7936 Å, b = 3.7159 Å, c = 9.8672 Å
α = 90.00°, β = 90.00°, γ = 90.00°
Last column: nearest neighbours and their distance in Å.
Fractional coordinates of all 4 atoms:
Ca1 0.0000 0.5000 0.4638  10 Ca 3.72-3.97
Cu1 0.0000 0.0000 0.9877  6 Ca 2.92-2.96
Ca2 0.5000 0.0000 0.7625  2 Cu 2.92
Ca3 0.5000 0.5000 0.1193  4 Cu 2.96

V = 34.77 A^3/atom
Energy = -2.426 eV/atom
DOS at the Fermi energy = 4.2 states/eV/cell
Formation enthalpy at 0 K = 0.10 eV/atom



[5]
Density functional theory data (GGA-PBE) for an optimized crystal structure of Ca5Cu4.

a = 6.9528 Å, b = 6.9528 Å, c = 6.9528 Å
α = 97.93°, β = 97.93°, γ = 136.38°
Last column: nearest neighbours and their distance in Å.
Fractional coordinates of all 9 atoms:
Ca1 0.3169 0.3169 0.6339  2 Cu 2.92, 2 Ca 3.11
Ca2 0.3169 0.6831 0.0000  2 Cu 2.92, 2 Ca 3.11
Cu1 0.0000 0.3622 0.3622  1 Cu 2.52
Cu2 0.6378 0.0000 0.6378  1 Cu 2.52
Ca3 0.0000 0.0000 0.0000  4 Cu 3.31, 8 Ca 3.50
Ca4 0.6831 0.6831 0.3661  2 Cu 2.92, 2 Ca 3.11
Ca5 0.6831 0.3169 0.0000  2 Cu 2.92, 2 Ca 3.11
Cu3 0.0000 0.6378 0.6378  1 Cu 2.52
Cu4 0.3622 0.0000 0.3622  1 Cu 2.52

V = 23.92 A^3/atom
Energy = -2.751 eV/atom
DOS at the Fermi energy = 4.7 states/eV/cell
ΔE to the lowest computed polymorph = 189 meV per atom
Formation enthalpy at 0 K = 0.18 eV/atom



[6]
Density functional theory data (GGA-PBE) for an optimized crystal structure of Ca5Cu3.

a = 3.6230 Å, b = 3.6230 Å, c = 16.5191 Å
α = 90.00°, β = 90.00°, γ = 90.00°
Last column: nearest neighbours and their distance in Å.
Fractional coordinates of all 8 atoms:
Ca1 0.5000 0.5000 0.6046  4 Cu 3.09, 1 Ca 3.46
Cu1 0.5000 0.5000 0.1070  8 Ca 3.08-3.11
Ca2 0.0000 0.0000 0.7891  4 Cu 3.08
Cu2 0.0000 0.0000 0.5000  8 Ca 3.09
Ca3 0.0000 0.0000 0.2109  4 Cu 3.08
Cu3 0.5000 0.5000 0.8930  8 Ca 3.08-3.11
Ca4 0.5000 0.5000 0.3954  4 Cu 3.09, 1 Ca 3.46
Ca5 0.0000 0.0000 0.0000  8 Cu 3.11, 2 Ca 3.48

V = 27.10 A^3/atom
Energy = -2.836 eV/atom
DOS at the Fermi energy = 6.8 states/eV/cell
ΔE to the lowest computed polymorph = 11 meV per atom
Formation enthalpy at 0 K = -0.05 eV/atom



[7]
Density functional theory data (GGA-PBE) for an optimized crystal structure of CaCu.

a = 10.5077 Å, b = 10.5077 Å, c = 3.8936 Å
α = 90.00°, β = 90.00°, γ = 90.00°
Last column: nearest neighbours and their distance in Å.
Fractional coordinates of all 16 atoms:
Cu1 0.9190 0.5840 0.0000  5 Cu 2.45-2.61
Cu2 0.5810 0.9160 0.5000  5 Cu 2.45-2.61
Cu3 0.0840 0.5810 0.5000  5 Cu 2.45-2.61
Ca1 0.6096 0.2840 0.5000  3 Cu 2.90
Ca2 0.2840 0.3904 0.5000  3 Cu 2.90
Ca3 0.2160 0.1096 0.0000  3 Cu 2.90
Cu4 0.4160 0.9190 0.0000  5 Cu 2.45-2.61
Cu5 0.4190 0.0840 0.5000  5 Cu 2.45-2.61
Cu6 0.9160 0.4190 0.5000  5 Cu 2.45-2.61
Ca4 0.3904 0.7160 0.5000  3 Cu 2.90
Ca5 0.7160 0.6096 0.5000  3 Cu 2.90
Ca6 0.1096 0.7840 0.0000  3 Cu 2.90
Ca7 0.7840 0.8904 0.0000  3 Cu 2.90
Cu7 0.0810 0.4160 0.0000  5 Cu 2.45-2.61
Cu8 0.5840 0.0810 0.0000  5 Cu 2.45-2.61
Ca8 0.8904 0.2160 0.0000  3 Cu 2.90

V = 26.87 A^3/atom
Energy = -2.941 eV/atom
DOS at the Fermi energy = 9.5 states/eV/cell
Formation enthalpy at 0 K = 0.11 eV/atom



[8]
Density functional theory data (GGA-PBE) for an optimized crystal structure of CaCu.

a = 6.4270 Å, b = 8.9874 Å, c = 9.8818 Å
α = 90.00°, β = 90.00°, γ = 90.00°
Last column: nearest neighbours and their distance in Å.
Fractional coordinates of all 24 atoms:
Cu1 0.7500 0.6546 0.3632  2 Cu 2.49
Cu2 0.7500 0.0462 0.0753  7 Ca 3.07-3.23
Cu3 0.0000 0.2500 0.4644  2 Cu 2.49
Ca1 0.7500 0.4801 0.6175  7 Cu 2.93-3.09
Cu4 0.2500 0.4538 0.0753  7 Ca 3.07-3.23
Ca2 0.2500 0.6294 0.7905  5 Cu 2.97-3.23
Cu5 0.0000 0.7500 0.5356  2 Cu 2.49
Cu6 0.5000 0.2500 0.4644  2 Cu 2.49
Cu7 0.2500 0.8454 0.3632  2 Cu 2.49
Ca3 0.2500 0.1294 0.2095  5 Cu 2.97-3.23
Ca4 0.5000 0.7500 0.1141  6 Cu 3.06-3.13, 2 Ca 3.21
Ca5 0.5000 0.2500 0.8859  6 Cu 3.06-3.13, 2 Ca 3.21
Ca6 0.2500 0.0199 0.6175  7 Cu 2.93-3.09
Cu8 0.2500 0.9538 0.9247  7 Ca 3.07-3.23
Ca7 0.2500 0.5199 0.3825  7 Cu 2.93-3.09
Ca8 0.0000 0.7500 0.1141  6 Cu 3.06-3.13, 2 Ca 3.21
Ca9 0.7500 0.9801 0.3825  7 Cu 2.93-3.09
Ca10 0.7500 0.3706 0.2095  5 Cu 2.97-3.23
Cu9 0.2500 0.3454 0.6368  2 Cu 2.49
Ca11 0.0000 0.2500 0.8859  6 Cu 3.06-3.13, 2 Ca 3.21
Cu10 0.7500 0.5462 0.9247  7 Ca 3.07-3.23
Cu11 0.7500 0.1546 0.6368  2 Cu 2.49
Cu12 0.5000 0.7500 0.5356  2 Cu 2.49
Ca12 0.7500 0.8706 0.7905  5 Cu 2.97-3.23

V = 23.78 A^3/atom
Energy = -3.097 eV/atom
DOS at the Fermi energy = 11.9 states/eV/cell
Formation enthalpy at 0 K = -0.05 eV/atom



[9]
Density functional theory data (GGA-PBE) for an optimized crystal structure of CaCu.

a = 6.1440 Å, b = 6.1440 Å, c = 4.8264 Å
α = 66.23°, β = 66.23°, γ = 33.67°
Last column: nearest neighbours and their distance in Å.
Fractional coordinates of all 4 atoms:
Cu1 0.5450 0.5450 0.4518  2 Cu 2.47
Cu2 0.2050 0.2050 0.2982  2 Cu 2.47
Ca1 0.9812 0.9812 0.0164  6 Cu 3.07-3.43, 2 Ca 3.31
Ca2 0.7688 0.7688 0.7336  6 Cu 3.07-3.43, 2 Ca 3.31

V = 22.90 A^3/atom
Energy = -3.065 eV/atom
DOS at the Fermi energy = 2.0 states/eV/cell
Formation enthalpy at 0 K = -0.02 eV/atom



[10]
Density functional theory data (GGA-PBE) for an optimized crystal structure of Ca3Cu.

a = 3.8774 Å, b = 7.0005 Å, c = 9.9039 Å
α = 90.00°, β = 90.00°, γ = 90.00°
Last column: nearest neighbours and their distance in Å.
Fractional coordinates of all 8 atoms:
Ca1 0.5000 0.7545 0.8330  2 Cu 2.98
Ca2 0.5000 0.2455 0.8330  2 Cu 2.98
Ca3 0.5000 0.0000 0.4606  2 Cu 2.94
Cu1 0.0000 0.0000 0.6838  6 Ca 2.94-2.98
Ca4 0.0000 0.2545 0.1670  2 Cu 2.98
Ca5 0.0000 0.7455 0.1670  2 Cu 2.98
Cu2 0.5000 0.5000 0.3162  6 Ca 2.94-2.98
Ca6 0.0000 0.5000 0.5394  2 Cu 2.94

V = 33.60 A^3/atom
Energy = -2.504 eV/atom
DOS at the Fermi energy = 7.6 states/eV/cell
Formation enthalpy at 0 K = 0.02 eV/atom



Please write out number 2 again, unchanged.
Density functional theory data (GGA-PBE) for an optimized crystal structure of CsCa3Zr.

a = 5.7800 Å, b = 5.7800 Å, c = 5.7800 Å
α = 90.00°, β = 90.00°, γ = 90.00°
Last column: nearest neighbours and their distance in Å.
Fractional coordinates of all 5 atoms:
Ca1 0.5000 0.0000 0.0000  2 Cs 2.89
Zr1 0.5000 0.5000 0.5000  12 Ca 4.09
Cs1 0.0000 0.0000 0.0000  6 Ca 2.89
Ca2 0.0000 0.5000 0.0000  2 Cs 2.89
Ca3 0.0000 0.0000 0.5000  2 Cs 2.89

V = 38.62 A^3/atom
Energy = -1.695 eV/atom
DOS at the Fermi energy = 14.9 states/eV/cell
Formation enthalpy at 0 K = 1.39 eV/atom